Compound: Mg2CuMo
Source: Alexandria via LeMat-Bulk
Functional: GGA-PBE
Structure: relaxed

Cell and atoms, written as POSCAR:
```
Mg2CuMo
1.0
5.310 0.050 -0.097
-2.307 4.783 -0.097
0.397 0.639 2.552
Mg Mo Cu
2 1 1
Cartesian
0.000 0.000 0.000 Mg
1.502 2.416 -0.097 Mg
2.854 0.344 1.228 Mo
-0.955 2.711 1.228 Cu
```

Calculated values
- Energy of formation from the pure elements: 0.2673 eV/atom
- Relative energy among the computed polymorphs: 0.110 eV/atom

Compound: MgAsRhSe2
Source: Alexandria via LeMat-Bulk
Functional: GGA-PBE
Structure: relaxed

Cell and atoms, written as POSCAR:
```
MgAsRhSe2
1.0
-0.132 1.735 4.563
-4.822 -0.763 0.151
0.760 -4.466 1.720
Se As Mg Rh
2 1 1 1
Cartesian
-2.411 -0.381 0.075 Se
-0.066 0.867 2.282 Se
0.380 -2.233 0.860 As
0.000 0.000 0.000 Mg
-2.096 -1.747 3.217 Rh
```

Calculated values
- Relative energy among the computed polymorphs: 0.676 eV/atom
- Uncorrected formation energy: 0.765 eV per atom

Compound: TaInCo2
Source: Alexandria via LeMat-Bulk
Functional: GGA-PBE
Structure: relaxed

Cell and atoms, written as POSCAR:
```
TaInCo2
1.0
-0.169 3.105 0.266
-2.541 -0.292 1.792
3.557 -0.235 5.006
Ta Co In
1 2 1
Cartesian
1.312 1.230 4.784 Ta
1.884 -0.124 2.651 Co
3.452 -0.228 4.858 Co
-0.466 1.348 2.281 In
```

Calculated values
- Energy of formation from the pure elements: -0.1149 eV/atom

Compound: InCuB2Mo
Source: Alexandria via LeMat-Bulk
Functional: GGA-PBE
Structure: relaxed

Cell and atoms, written as POSCAR:
```
InCuB2Mo
1.0
3.864 0.000 0.000
0.000 5.088 0.000
0.000 0.000 3.864
In Mo Cu B
1 1 1 2
Cartesian
1.932 2.544 1.932 In
0.000 2.544 0.000 Mo
0.000 0.000 0.000 Cu
1.932 0.000 0.000 B
0.000 0.000 1.932 B
```

Calculated values
- Energy of formation from the pure elements: 1.3393 eV/atom

Compound: Ba2CeMnS6
Source: Alexandria via LeMat-Bulk
Functional: GGA-PBE
Structure: relaxed

Cell and atoms, written as POSCAR:
```
Ba2CeMnS6
1.0
-6.344 -3.267 0.186
2.960 -5.579 2.960
-1.621 3.893 8.957
S Ce Ba Mn
12 2 4 2
Cartesian
-5.651 -0.203 9.612 S
-0.746 -2.115 1.094 S
-0.195 -3.304 6.519 S
0.646 -4.749 2.491 S
-3.251 -4.597 7.148 S
-0.120 0.007 8.349 S
-4.003 1.410 6.659 S
-4.885 -4.959 3.754 S
-1.754 -0.355 4.955 S
-1.001 -6.362 5.444 S
-4.810 -1.648 5.584 S
-4.259 -2.837 11.009 S
0.669 -0.843 5.959 Ce
-3.172 -1.633 0.093 Ce
-2.926 -1.530 8.263 Ba
-7.538 -0.324 6.933 Ba
2.534 -4.629 5.170 Ba
-2.079 -3.422 3.840 Ba
1.480 -2.789 1.480 Mn
-3.982 0.313 4.571 Mn
```

Calculated values
- Uncorrected formation energy: -1.501 eV per atom

Compound: Si2Ni4Pd
Source: Alexandria via LeMat-Bulk
Functional: GGA-PBE
Structure: relaxed

Cell and atoms, written as POSCAR:
```
Si2Ni4Pd
1.0
-0.402 0.852 -3.564
-4.348 -5.192 -0.751
-5.193 4.122 1.572
Ni Si Pd
8 4 2
Cartesian
-6.364 1.743 -0.771 Ni
-6.003 -2.234 -1.763 Ni
-3.941 2.015 -0.980 Ni
-7.612 0.341 0.941 Ni
-2.144 0.954 0.470 Ni
-7.397 -2.025 0.351 Ni
-1.930 -1.411 -0.120 Ni
-3.580 -1.962 -1.971 Ni
-7.130 -0.352 -1.185 Si
-5.002 2.015 1.047 Si
-4.539 -3.086 -0.225 Si
-2.814 0.133 -1.557 Si
-4.771 -0.535 0.411 Pd
-0.201 0.426 -1.782 Pd
```

Calculated values
- Relative energy among the computed polymorphs: 0.000 eV/atom
- Uncorrected formation energy: -0.426 eV per atom

Compound: Tb3CeDy6
Source: Alexandria via LeMat-Bulk
Functional: GGA-PBE
Structure: relaxed

Cell and atoms, written as POSCAR:
```
Tb3CeDy6
1.0
-3.480 -3.725 -3.419
5.659 -8.598 3.607
-8.854 3.240 5.483
Dy Tb Ce
12 6 2
Cartesian
-0.531 -2.461 2.857 Dy
-4.635 -5.005 4.297 Dy
-6.768 -2.958 5.950 Dy
-11.357 -0.772 2.239 Dy
-3.588 -3.249 1.318 Dy
-2.415 -9.790 3.453 Dy
-7.001 -2.414 2.802 Dy
-1.577 -4.217 5.836 Dy
1.152 -5.783 3.682 Dy
-5.149 -0.243 1.345 Dy
-0.797 -7.076 -1.153 Dy
3.482 -9.594 2.254 Dy
-0.511 -3.923 -0.209 Tb
-1.935 -6.121 2.398 Tb
-5.481 -3.151 -1.501 Tb
-7.585 -6.679 4.486 Tb
-2.615 -7.451 5.777 Tb
-3.462 -1.593 4.529 Tb
0.448 -8.522 1.820 Ce
-6.330 0.289 4.631 Ce
```

Calculated values
- Energy of formation from the pure elements: 0.1608 eV/atom
- Relative energy among the computed polymorphs: 0.000 eV/atom

Compound: Sr2CaRe
Source: Alexandria via LeMat-Bulk
Functional: GGA-PBE
Structure: relaxed

Cell and atoms, written as POSCAR:
```
Sr2CaRe
1.0
-4.572 1.555 1.244
-0.819 -4.308 2.374
1.806 1.962 4.183
Ca Sr Re
1 2 1
Cartesian
-1.383 1.758 2.714 Ca
0.000 0.000 0.000 Sr
-2.695 -1.377 1.809 Sr
0.493 -1.173 3.278 Re
```

Calculated values
- Energy of formation from the pure elements: 0.9458 eV/atom
- Relative energy among the computed polymorphs: 0.190 eV/atom

Compound: In2AgSb
Source: Alexandria via LeMat-Bulk
Functional: GGA-PBE
Structure: relaxed

Cell and atoms, written as POSCAR:
```
In2AgSb
1.0
-5.078 -1.663 6.362
5.918 -4.661 3.504
1.460 -0.742 6.396
Sb In Ag
2 4 2
Cartesian
-1.598 -2.784 8.846 Sb
0.000 0.000 0.000 Sb
3.391 -3.319 4.632 In
-2.030 -1.795 5.966 In
1.455 -2.964 8.523 In
1.786 -6.056 13.404 In
0.420 -3.162 4.933 Ag
3.899 -4.283 7.417 Ag
```

Calculated values
- Uncorrected formation energy: 0.102 eV per atom

Compound: Er3ZrIn3Se8
Source: Alexandria via LeMat-Bulk
Functional: GGA-PBE
Structure: relaxed

Cell and atoms, written as POSCAR:
```
Er3ZrIn3Se8
1.0
-0.351 8.064 0.432
-4.812 -4.511 4.671
8.769 0.259 2.288
Se Er In Zr
8 3 3 1
Cartesian
3.676 3.989 4.141 Se
-0.069 -0.177 3.251 Se
2.212 6.190 1.127 Se
1.395 -2.378 6.265 Se
-0.286 3.848 3.552 Se
1.213 1.808 6.489 Se
2.394 2.004 0.903 Se
3.893 -0.036 3.840 Se
1.803 1.906 3.696 Er
4.209 4.161 1.360 Er
1.979 -2.126 3.480 Er
0.000 0.000 0.000 In
-2.581 1.777 2.552 In
-2.406 -2.255 2.336 In
4.385 0.129 1.144 Zr
```

Calculated values
- Uncorrected formation energy: -1.308 eV per atom

Compound: AcSn4Pd6
Source: Alexandria via LeMat-Bulk
Functional: GGA-PBE
Structure: relaxed

Cell and atoms, written as POSCAR:
```
AcSn4Pd6
1.0
4.347 0.000 0.000
0.000 7.708 0.000
0.000 -3.854 6.675
Sn Pd Ac
4 6 1
Cartesian
2.174 2.275 1.314 Sn
2.174 3.854 4.048 Sn
0.000 0.000 4.450 Sn
2.174 5.433 1.314 Sn
2.174 -1.494 5.313 Pd
2.174 0.000 2.726 Pd
0.000 3.854 0.505 Pd
0.000 5.343 3.085 Pd
2.174 1.494 5.313 Pd
0.000 2.365 3.085 Pd
0.000 0.000 0.000 Ac
```

Calculated values
- Energy of formation from the pure elements: -0.6469 eV/atom

Compound: AcMgBiSe
Source: Alexandria via LeMat-Bulk
Functional: GGA-PBE
Structure: relaxed

Cell and atoms, written as POSCAR:
```
AcMgBiSe
1.0
-2.421 -2.126 -3.814
4.093 0.414 -2.829
3.137 -9.278 3.180
Mg Se Bi Ac
2 2 2 2
Cartesian
1.569 -4.639 1.590 Mg
2.404 -5.495 -1.732 Mg
0.000 0.000 0.000 Se
0.836 -0.856 -3.322 Se
3.082 -2.855 -0.365 Bi
0.891 -7.279 0.223 Bi
4.666 -7.540 1.240 Ac
-0.693 -2.594 -1.382 Ac
```

Calculated values
- Uncorrected formation energy: -1.045 eV per atom

Which formula does entry 6 have? Si2Ni4Pd